A plane-wave DFT calculation with GGA+U was carried out for a relaxed structure of Rb4Fe2O.

a = 12.429 Å, b = 12.429 Å, c = 12.429 Å
α = 60.00°, β = 60.00°, γ = 60.00°
Last column: magnetic moment on the atom in μB.
Atoms (fractional coordinates):
Rb1 0.832 0.832 0.832  0.00
Rb2 0.418 0.418 0.747  0.00
Rb3 0.503 0.832 0.832  0.00
Rb4 0.747 0.418 0.418  0.00
Rb5 0.418 0.747 0.418  0.00
Rb6 0.832 0.832 0.503  0.00
Rb7 0.418 0.418 0.418  0.00
Rb8 0.832 0.503 0.832  0.00
Fe1 0.625 0.625 0.125  2.94
Fe2 0.625 0.625 0.625  2.94
Fe3 0.125 0.625 0.625  2.94
Fe4 0.625 0.125 0.625  2.94
O1 0.500 0.500 0.500  0.00
O2 0.750 0.750 0.750  0.00

Properties
Magnetic moment   5.999 μB/f.u.
Raw total energy   -34.7 eV/cell
V   1358 Å³/cell